# 1
Crystalline Ba2CoO4 at its relaxed geometry, computed with GGA+U.

Properties
* total magnetization: 0.714 μB/atom
* final energy: -6.00 eV per atom
* symmetry: Cmcm

Unit cell a=7.2498 b=7.2498 c=5.7786 alpha=90.00 beta=90.00 gamma=111.36
Atoms (fractional coordinates):
Ba: 0.0999 0.3823 0.2500
Ba: 0.3823 0.0999 0.7500
Ba: 0.6177 0.9001 0.2500
Ba: 0.9001 0.6177 0.7500
Co: 0.1441 0.8559 0.2500
Co: 0.8559 0.1441 0.7500
O: 0.1192 0.2646 0.7500
O: 0.2395 0.7605 0.0060
O: 0.2395 0.7605 0.4940
O: 0.2646 0.1192 0.2500
O: 0.7354 0.8808 0.7500
O: 0.7605 0.2395 0.5060
O: 0.7605 0.2395 0.9940
O: 0.8808 0.7354 0.2500

---

# 2
Crystalline Ba3CoO4 at its relaxed geometry, computed with GGA+U.

Properties
* total magnetization: 0.373 μB/atom
* final energy: -5.90 eV per atom
* symmetry: Pnma

Unit cell a=7.7312 b=9.4354 c=8.2711 alpha=90.00 beta=90.00 gamma=90.00
Atoms (fractional coordinates):
Ba: 0.0159 0.0382 0.2435
Ba: 0.0159 0.4618 0.2435
Ba: 0.2207 0.7500 0.4401
Ba: 0.2793 0.2500 0.9401
Ba: 0.4841 0.5382 0.7435
Ba: 0.4841 0.9618 0.7435
Ba: 0.5159 0.0382 0.2565
Ba: 0.5159 0.4618 0.2565
Ba: 0.7207 0.7500 0.0599
Ba: 0.7793 0.2500 0.5599
Ba: 0.9841 0.5382 0.7565
Ba: 0.9841 0.9618 0.7565
Co: 0.2168 0.7500 0.0017
Co: 0.2832 0.2500 0.5017
Co: 0.7168 0.7500 0.4983
Co: 0.7832 0.2500 0.9983
O: 0.0269 0.7500 0.1621
O: 0.2191 0.0383 0.5136
O: 0.2191 0.4617 0.5136
O: 0.2208 0.7500 0.7547
O: 0.2792 0.2500 0.2547
O: 0.2809 0.5383 0.0136
O: 0.2809 0.9617 0.0136
O: 0.4731 0.2500 0.6621
O: 0.5269 0.7500 0.3379
O: 0.7191 0.0383 0.9864
O: 0.7191 0.4617 0.9864
O: 0.7208 0.7500 0.7453
O: 0.7792 0.2500 0.2453
O: 0.7809 0.5383 0.4864
O: 0.7809 0.9617 0.4864
O: 0.9731 0.2500 0.8379

---

# 3
Crystalline BaCoO2 at its relaxed geometry, computed with GGA+U.

Properties
* total magnetization: 0.750 μB/atom
* final energy: -5.92 eV per atom
* symmetry: Ama2

Unit cell a=4.9926 b=5.9615 c=5.9615 alpha=124.59 beta=90.00 gamma=90.00
Atoms (fractional coordinates):
Ba: 0.2500 0.1821 0.8179
Ba: 0.7500 0.8179 0.1821
Co: 0.0000 0.5745 0.5745
Co: 0.5000 0.5745 0.5745
O: 0.2500 0.5740 0.3207
O: 0.2500 0.7001 0.8911
O: 0.7500 0.3207 0.5740
O: 0.7500 0.8911 0.7001

---

# 4
Crystalline Ba12Co3O5 at its relaxed geometry, computed with GGA+U.

Properties
* total magnetization: 0.140 μB/atom
* final energy: -4.14 eV per atom
* symmetry: Ia-3d

Unit cell a=15.3940 b=15.3940 c=15.3940 alpha=109.47 beta=109.47 gamma=109.47
Atoms (fractional coordinates):
Ba: 0.0144 0.1976 0.1165
Ba: 0.0144 0.3169 0.8979
Ba: 0.0811 0.6976 0.6831
Ba: 0.0811 0.8835 0.3979
Ba: 0.1021 0.6165 0.4189
Ba: 0.1021 0.9856 0.6831
Ba: 0.1165 0.0144 0.1976
Ba: 0.1165 0.6021 0.9189
Ba: 0.1831 0.1976 0.5811
Ba: 0.1831 0.4856 0.6021
Ba: 0.1976 0.1165 0.0144
Ba: 0.1976 0.5811 0.1831
Ba: 0.3024 0.3169 0.9189
Ba: 0.3024 0.4856 0.3835
Ba: 0.3169 0.8979 0.0144
Ba: 0.3169 0.9189 0.3024
Ba: 0.3835 0.3024 0.4856
Ba: 0.3835 0.5811 0.8979
Ba: 0.3979 0.0811 0.8835
Ba: 0.3979 0.8169 0.5144
Ba: 0.4189 0.1021 0.6165
Ba: 0.4189 0.8169 0.8024
Ba: 0.4856 0.3835 0.3024
Ba: 0.4856 0.6021 0.1831
Ba: 0.5144 0.3979 0.8169
Ba: 0.5144 0.6165 0.6976
Ba: 0.5811 0.1831 0.1976
Ba: 0.5811 0.8979 0.3835
Ba: 0.6021 0.1831 0.4856
Ba: 0.6021 0.9189 0.1165
Ba: 0.6165 0.4189 0.1021
Ba: 0.6165 0.6976 0.5144
Ba: 0.6831 0.0811 0.6976
Ba: 0.6831 0.1021 0.9856
Ba: 0.6976 0.5144 0.6165
Ba: 0.6976 0.6831 0.0811
Ba: 0.8024 0.4189 0.8169
Ba: 0.8024 0.8835 0.9856
Ba: 0.8169 0.5144 0.3979
Ba: 0.8169 0.8024 0.4189
Ba: 0.8835 0.3979 0.0811
Ba: 0.8835 0.9856 0.8024
Ba: 0.8979 0.0144 0.3169
Ba: 0.8979 0.3835 0.5811
Ba: 0.9189 0.1165 0.6021
Ba: 0.9189 0.3024 0.3169
Ba: 0.9856 0.6831 0.1021
Ba: 0.9856 0.8024 0.8835
Co: 0.1250 0.2500 0.3750
Co: 0.1250 0.3750 0.7500
Co: 0.2500 0.3750 0.1250
Co: 0.2500 0.8750 0.6250
Co: 0.3750 0.1250 0.2500
Co: 0.3750 0.7500 0.1250
Co: 0.6250 0.2500 0.8750
Co: 0.6250 0.8750 0.7500
Co: 0.7500 0.1250 0.3750
Co: 0.7500 0.6250 0.8750
Co: 0.8750 0.6250 0.2500
Co: 0.8750 0.7500 0.6250
O: 0.0000 0.0000 0.0000
O: 0.0000 0.0000 0.5000
O: 0.0000 0.5000 0.0000
O: 0.0000 0.5000 0.5000
O: 0.1250 0.7500 0.8750
O: 0.1250 0.8750 0.2500
O: 0.2500 0.1250 0.8750
O: 0.2500 0.6250 0.3750
O: 0.3750 0.2500 0.6250
O: 0.3750 0.6250 0.7500
O: 0.5000 0.0000 0.0000
O: 0.5000 0.0000 0.5000
O: 0.5000 0.5000 0.0000
O: 0.5000 0.5000 0.5000
O: 0.6250 0.3750 0.2500
O: 0.6250 0.7500 0.3750
O: 0.7500 0.3750 0.6250
O: 0.7500 0.8750 0.1250
O: 0.8750 0.1250 0.7500
O: 0.8750 0.2500 0.1250